# 1
Density functional theory data (GGA-PBE) for crystalline Pm3AlSn2 at its relaxed geometry.

The crystal system is orthorhombic. Its density of states at the Fermi level is 5.8 states/eV/f.u. For the polymorph energy (0 for the lowest one), the calculation gives 99 kJ/mol of formula units. The value obtained for the raw total energy is -57.71 eV per cell. The symmetry is No. 72.

```
Pm3AlSn2
1.0
-3.609 5.282 0.054
-0.808 -0.616 6.297
9.123 2.378 -1.827
Pm Al Sn
6 2 4
Cartesian
1.111 2.578 3.625
3.595 4.465 0.899
5.071 1.405 4.019
-0.365 5.638 0.505
-2.411 2.179 4.750
-2.006 2.487 1.601
-0.202 -0.154 1.574
-0.606 -0.462 4.723
0.990 2.657 0.387
3.716 4.386 4.137
5.880 2.118 0.962
-1.174 4.925 3.562
```

# 2
Density functional theory data (GGA-PBE) for crystalline Ce2YPb at its relaxed geometry.

The crystal system is monoclinic. Its density of states at the Fermi level is 7.6 states/eV/f.u. For the polymorph energy (0 for the lowest one), the calculation gives 0 kJ/mol of formula units. The value obtained for the raw total energy is -46.52 eV per cell. The symmetry is No. 11.

```
Ce2YPb
1.0
-2.593 -3.008 -1.869
3.002 -0.526 -3.319
3.887 -7.993 7.474
Ce Y Pb
4 2 2
Cartesian
2.687 -9.549 3.911
1.608 -1.978 -1.625
2.797 -7.829 6.145
1.498 -3.698 -3.859
2.645 -5.805 3.097
1.650 -5.723 -0.811
3.109 -8.013 0.852
1.186 -3.514 1.434
```

# 3
Density functional theory data (GGA-PBE) for crystalline GeBPb2 at its relaxed geometry.

The crystal system is tetragonal. Its density of states at the Fermi level is 1.9 states/eV/f.u. For the polymorph energy (0 for the lowest one), the calculation gives 0 kJ/mol of formula units. The value obtained for the raw total energy is -31.92 eV per cell. The symmetry is No. 122.

```
GeBPb2
1.0
-2.058 4.498 -3.448
2.453 -2.599 -4.856
-4.705 -1.987 -5.057
Pb Ge B
4 2 2
Cartesian
-2.039 1.735 -3.830
-0.017 -1.304 -4.926
-3.241 -0.925 -7.182
-3.322 0.319 -10.783
0.000 0.000 0.000
-3.282 1.731 -6.328
0.198 0.950 -4.152
-1.027 -1.818 -7.032
```

# 4
Density functional theory data (GGA-PBE) for crystalline ScTlPbAu2 at its relaxed geometry.

The crystal system is tetragonal. Its density of states at the Fermi level is 4.1 states/eV/f.u. The value obtained for the raw total energy is -17.53 eV per cell. The symmetry is No. 123.

```
ScTlPbAu2
1.0
-2.153 3.770 2.815
-0.668 -3.544 4.234
4.664 1.301 1.824
Pb Sc Tl Au
1 1 1 2
Cartesian
0.922 0.764 4.437
0.000 0.000 0.000
-0.334 -1.772 2.117
2.332 0.651 0.912
-1.077 1.885 1.408
```

# 5
Density functional theory data (GGA-PBE) for crystalline LiSi2Ni at its relaxed geometry.

The crystal system is monoclinic. Its density of states at the Fermi level is 1.3 states/eV/f.u. For the polymorph energy (0 for the lowest one), the calculation gives 80 kJ/mol of formula units. The value obtained for the raw formation energy is -0.1496 eV/atom. The value obtained for the raw total energy is -19.14 eV per cell. The symmetry is No. 8.

```
LiSi2Ni
1.0
-1.608 -1.523 -3.852
1.079 -1.096 -4.169
0.740 -4.141 0.687
Li Ni Si
1 1 2
Cartesian
0.106 -3.393 -3.683
0.038 -1.655 -1.909
-0.515 -2.664 -7.965
0.159 -5.046 -5.465
```

# 6
Density functional theory data (GGA-PBE) for crystalline EuDyMgAu at its relaxed geometry.

The crystal system is cubic. Its density of states at the Fermi level is 5.9 states/eV/f.u. The value obtained for the raw total energy is -21.22 eV per cell. The symmetry is No. 216.

```
EuDyMgAu
1.0
5.301 0.000 0.000
2.650 4.590 0.000
2.650 1.530 4.328
Eu Mg Au Dy
1 1 1 1
Cartesian
7.951 4.590 3.246
5.301 3.060 2.164
0.000 0.000 0.000
2.650 1.530 1.082
```